First-principles (PBE-GGA) data for an optimized crystal structure of NaTh2Ir, as listed in Alexandria.

Cell: 4.0390 4.0390 32.2846 Å, 90.00 90.00 120.00°
Space group R-3m (No. 166, hexagonal axes)
Inequivalent atoms, fractional coordinates:
Na 0.0000 0.0000 0.0000 [3 per cell]
Th 0.0000 0.0000 0.1171 [6 per cell]
Ir 0.0000 0.0000 0.5000 [3 per cell]

Results
Total moment (μB per formula unit): 0.000
Density of states at the Fermi level (states/eV per cell): 14.90
DFT formation energy (eV/atom): -0.22


First-principles (PBE-GGA) data for an optimized crystal structure of Pr2Ga2Os2C, as listed in Alexandria.

Cell: 11.3079 4.2064 7.3217 Å, 90.00 128.68 90.00°
Space group C2/m (No. 12)
Inequivalent atoms, fractional coordinates:
Pr 0.0648 0.0000 0.2948 [4 per cell]
Ga 0.1541 0.5000 0.7014 [4 per cell]
Os 0.1970 0.5000 0.0872 [4 per cell]
C 0.0000 0.5000 0.0000 [2 per cell]

Results
Total moment (μB per formula unit): 0.000
Density of states at the Fermi level (states/eV per cell): 7.17
DFT formation energy (eV/atom): -0.43


First-principles (PBE-GGA) data for an optimized crystal structure of PrThIn2, as listed in Alexandria.

Cell: 5.7620 3.5205 11.5732 Å, 90.00 90.00 90.00°
Space group Pmma (No. 51)
Inequivalent atoms, fractional coordinates:
Pr 0.2500 0.0000 0.1220 [2 per cell]
Th 0.2500 0.0000 0.6197 [2 per cell]
In 0.2500 0.5000 0.3699 [2 per cell]
In 0.2500 0.5000 0.8714 [2 per cell]

Results
Total moment (μB per formula unit): 0.000
Density of states at the Fermi level (states/eV per cell): 6.71
DFT formation energy (eV/atom): -0.34


First-principles (PBE-GGA) data for an optimized crystal structure of Cr2CuRu, as listed in Alexandria.

Cell: 8.8247 2.7551 4.2281 Å, 90.00 104.29 90.00°
Space group C2/m (No. 12)
Inequivalent atoms, fractional coordinates:
Cr 0.2490 0.0000 0.2390 [4 per cell]
Cu 0.0000 0.0000 0.5000 [2 per cell]
Ru 0.0000 0.5000 0.0000 [2 per cell]

Results
Total moment (μB per formula unit): 0.000
Density of states at the Fermi level (states/eV per cell): 8.92
DFT formation energy (eV/atom): 0.28


First-principles (PBE-GGA) data for an optimized crystal structure of Cr2SeS, as listed in Alexandria.

Cell: 3.6182 3.6182 5.9178 Å, 90.00 90.00 120.00°
Space group P-6m2 (No. 187)
Inequivalent atoms, fractional coordinates:
Cr 0.0000 0.0000 0.2400 [2 per cell]
Se 0.3333 0.6667 0.5000 [1 per cell]
S 0.6667 0.3333 0.0000 [1 per cell]

Results
Total moment (μB per formula unit): 6.900
Density of states at the Fermi level (states/eV per cell): 2.90
Formation energy from raw total energies (meV/atom): -370
ΔE to the lowest computed polymorph (meV per atom): 0.0


First-principles (PBE-GGA) data for an optimized crystal structure of BeP2Se, as listed in Alexandria.

Cell: 3.2590 3.2590 8.6018 Å, 90.00 90.00 90.00°
Space group P4/mmm (No. 123)
Inequivalent atoms, fractional coordinates:
Be 0.0000 0.0000 0.0000 [1 per cell]
P 0.0000 0.5000 0.5000 [2 per cell]
Se 0.5000 0.5000 0.0000 [1 per cell]

Results
Total moment (μB per formula unit): 0.000
Density of states at the Fermi level (states/eV per cell): 1.84
Formation energy from raw total energies (meV/atom): 270
ΔE to the lowest computed polymorph (meV per atom): 539.9